1.
{
  "formula": "Zn2CuI6",
  "functional": "PBE-GGA",
  "state": "optimized geometry",
  "cell": [[3.957, 0.000, 0.000], [1.944, 8.598, 0.000], [1.734, 2.132, 11.322]],
  "species": ["Zn", "Zn", "Cu", "I", "I", "I", "I", "I", "I"],
  "fractional_positions": [[0.186, 0.340, 0.255], [0.814, 0.660, 0.745], [0.500, 0.500, 0.500], [0.107, 0.283, 0.499], [0.347, 0.085, 0.176], [0.390, 0.454, 0.800], [0.610, 0.546, 0.200], [0.653, 0.915, 0.824], [0.893, 0.717, 0.501]],
  "e_form_raw_ev_per_atom": -0.3522,
  "n_ef_per_ev_cell": 4.9,
  "magnetic_moment_mub_per_cell": 0.3
}

---

2.
{
  "formula": "Pm4Dy3Th4",
  "functional": "PBE-GGA",
  "state": "optimized geometry",
  "cell": [[-1.758, 5.167, 10.260], [1.758, -5.167, 10.260], [1.758, 5.167, -10.260]],
  "species": ["Pm", "Pm", "Pm", "Pm", "Dy", "Dy", "Dy", "Th", "Th", "Th", "Th"],
  "fractional_positions": [[0.029, 0.843, 0.186], [0.343, 0.157, 0.186], [0.657, 0.843, 0.814], [0.971, 0.157, 0.814], [0.000, 0.500, 0.500], [0.410, 0.410, 0.000], [0.590, 0.590, 0.000], [0.269, 0.769, 0.500], [0.277, 0.000, 0.277], [0.723, 0.000, 0.723], [0.731, 0.231, 0.500]],
  "ef_ev_per_atom": 0.226,
  "n_ef_per_ev_cell": 16.8,
  "magnetic_moment_mub_per_cell": 0.0
}

---

3.
{
  "formula": "LiSmYPb",
  "functional": "PBE-GGA",
  "state": "optimized geometry",
  "cell": [[0.000, 3.773, 3.773], [3.773, 0.000, 3.773], [3.773, 3.773, 0.000]],
  "species": ["Li", "Sm", "Y", "Pb"],
  "fractional_positions": [[0.000, 0.000, 0.000], [0.750, 0.750, 0.750], [0.250, 0.250, 0.250], [0.500, 0.500, 0.500]],
  "ef_ev_per_atom": -0.310,
  "n_ef_per_ev_cell": 3.2,
  "magnetic_moment_mub_per_cell": 0.0
}

---

4.
{
  "formula": "TlCo2Re",
  "functional": "PBE-GGA",
  "state": "optimized geometry",
  "cell": [[-1.884, 1.884, 4.066], [1.884, -1.884, 4.066], [1.884, 1.884, -4.066]],
  "species": ["Tl", "Co", "Co", "Re"],
  "fractional_positions": [[0.000, 0.000, 0.000], [0.250, 0.750, 0.500], [0.500, 0.500, 0.000], [0.750, 0.250, 0.500]],
  "ef_ev_per_atom": 0.741,
  "n_ef_per_ev_cell": 5.2,
  "relative_energy_kcal_per_mol_atoms": 8.192,
  "magnetic_moment_mub_per_cell": 1.0
}

---

5.
{
  "formula": "RbTaGeO5",
  "functional": "PBE-GGA",
  "state": "optimized geometry",
  "cell": [[3.634, -4.740, 0.000], [3.634, 4.740, 0.000], [-3.393, 0.000, 6.845]],
  "species": ["Rb", "Rb", "Ta", "Ta", "Ge", "Ge", "O", "O", "O", "O", "O", "O", "O", "O", "O", "O"],
  "fractional_positions": [[0.170, 0.830, 0.750], [0.830, 0.170, 0.250], [0.500, 0.500, 0.000], [0.500, 0.500, 0.500], [0.191, 0.809, 0.250], [0.809, 0.191, 0.750], [0.133, 0.283, 0.894], [0.221, 0.619, 0.393], [0.283, 0.133, 0.394], [0.381, 0.779, 0.107], [0.451, 0.549, 0.750], [0.549, 0.451, 0.250], [0.619, 0.221, 0.893], [0.717, 0.867, 0.606], [0.779, 0.381, 0.607], [0.867, 0.717, 0.106]],
  "e_form_raw_ev_per_atom": -2.2276,
  "n_ef_per_ev_cell": 0.0,
  "relative_energy_kcal_per_mol_atoms": 1.965,
  "magnetic_moment_mub_per_cell": 0.0
}

---

6.
{
  "formula": "KSr2PbBr8",
  "functional": "PBE-GGA",
  "state": "optimized geometry",
  "cell": [[6.956, 0.000, 0.000], [0.000, 9.434, 0.000], [-0.031, 0.000, 7.172]],
  "species": ["K", "Sr", "Sr", "Pb", "Br", "Br", "Br", "Br", "Br", "Br", "Br", "Br"],
  "fractional_positions": [[0.000, 0.000, 0.000], [0.500, 0.249, 0.500], [0.500, 0.751, 0.500], [0.000, 0.500, 0.000], [0.246, 0.278, 0.146], [0.246, 0.722, 0.146], [0.247, 0.500, 0.656], [0.272, 0.000, 0.644], [0.728, 0.000, 0.356], [0.753, 0.500, 0.344], [0.754, 0.278, 0.854], [0.754, 0.722, 0.854]],
  "e_form_raw_ev_per_atom": -1.5108,
  "n_ef_per_ev_cell": 5.8,
  "magnetic_moment_mub_per_cell": 0.0
}

---

7.
{
  "formula": "TbPrY2Ho",
  "functional": "PBE-GGA",
  "state": "optimized geometry",
  "cell": [[4.229, -5.766, 0.000], [4.229, 5.766, 0.000], [0.000, 0.000, 7.234]],
  "species": ["Tb", "Tb", "Pr", "Pr", "Y", "Y", "Y", "Y", "Ho", "Ho"],
  "fractional_positions": [[0.003, 0.997, 0.750], [0.997, 0.003, 0.250], [0.271, 0.729, 0.750], [0.729, 0.271, 0.250], [0.310, 0.310, 0.000], [0.310, 0.310, 0.500], [0.690, 0.690, 0.000], [0.690, 0.690, 0.500], [0.275, 0.725, 0.250], [0.725, 0.275, 0.750]],
  "ef_ev_per_atom": 0.381,
  "n_ef_per_ev_cell": 14.6,
  "magnetic_moment_mub_per_cell": 0.0
}

---

8.
{
  "formula": "ScCd2Sb",
  "functional": "PBE-GGA",
  "state": "optimized geometry",
  "cell": [[3.258, 0.000, 0.000], [0.000, 5.686, 0.000], [-0.014, 0.000, 5.107]],
  "species": ["Sc", "Cd", "Cd", "Sb"],
  "fractional_positions": [[0.000, 0.000, 0.000], [0.273, 0.500, 0.756], [0.727, 0.500, 0.244], [0.500, 0.000, 0.500]],
  "e_form_raw_ev_per_atom": -0.1945,
  "n_ef_per_ev_cell": 3.5,
  "magnetic_moment_mub_per_cell": 0.0
}

---

9.
{
  "formula": "Li2PuSc3Se6",
  "functional": "PBE-GGA",
  "state": "optimized geometry",
  "cell": [[3.386, -5.863, 0.000], [3.386, 5.863, 0.000], [-2.280, 0.000, 6.555]],
  "species": ["Li", "Li", "Pu", "Sc", "Sc", "Sc", "Se", "Se", "Se", "Se", "Se", "Se"],
  "fractional_positions": [[0.167, 0.833, 0.000], [0.833, 0.167, 0.000], [0.500, 0.500, 0.000], [0.000, 0.000, 0.500], [0.334, 0.666, 0.500], [0.666, 0.334, 0.500], [0.071, 0.413, 0.739], [0.244, 0.244, 0.261], [0.413, 0.071, 0.739], [0.587, 0.929, 0.261], [0.756, 0.756, 0.739], [0.929, 0.587, 0.261]],
  "e_form_raw_ev_per_atom": -1.5791,
  "n_ef_per_ev_cell": 15.7,
  "magnetic_moment_mub_per_cell": 6.3
}

---

10.
{
  "formula": "B2C3",
  "functional": "PBE-GGA",
  "state": "optimized geometry",
  "cell": [[1.311, 0.757, 14.033], [-1.311, 0.757, 14.033], [0.000, -1.514, 14.033]],
  "species": ["B", "B", "B", "B", "C", "C", "C", "C", "C", "C"],
  "fractional_positions": [[0.000, 0.000, 0.000], [0.112, 0.112, 0.112], [0.489, 0.489, 0.489], [0.725, 0.725, 0.725], [0.152, 0.152, 0.152], [0.338, 0.338, 0.338], [0.375, 0.375, 0.375], [0.580, 0.580, 0.580], [0.762, 0.762, 0.762], [0.914, 0.914, 0.914]],
  "ef_ev_per_atom": 0.304,
  "n_ef_per_ev_cell": 1.7,
  "relative_energy_kcal_per_mol_atoms": 1.555,
  "magnetic_moment_mub_per_cell": 0.0
}

---

11.
{
  "formula": "CaTb3Pm2Se6",
  "functional": "PBE-GGA",
  "state": "optimized geometry",
  "cell": [[9.040, -2.062, 0.000], [9.040, 2.062, 0.000], [-1.936, 0.000, 8.110]],
  "species": ["Ca", "Tb", "Tb", "Tb", "Pm", "Pm", "Se", "Se", "Se", "Se", "Se", "Se"],
  "fractional_positions": [[0.000, 0.000, 0.000], [0.000, 0.000, 0.500], [0.331, 0.331, 0.171], [0.669, 0.669, 0.829], [0.329, 0.329, 0.659], [0.671, 0.671, 0.341], [0.162, 0.162, 0.588], [0.166, 0.166, 0.076], [0.499, 0.499, 0.250], [0.501, 0.501, 0.750], [0.834, 0.834, 0.924], [0.838, 0.838, 0.412]],
  "e_form_raw_ev_per_atom": -1.8360,
  "n_ef_per_ev_cell": 5.2,
  "magnetic_moment_mub_per_cell": 0.0
}

---

12.
{
  "formula": "KAl2Cl",
  "functional": "PBE-GGA",
  "state": "optimized geometry",
  "cell": [[3.975, 0.000, 0.000], [0.000, 3.975, 0.000], [0.000, 0.000, 7.838]],
  "species": ["K", "Al", "Al", "Cl"],
  "fractional_positions": [[0.000, 0.000, 0.000], [0.500, 0.500, 0.337], [0.500, 0.500, 0.663], [0.000, 0.000, 0.500]],
  "e_form_raw_ev_per_atom": 0.0853,
  "n_ef_per_ev_cell": 2.2,
  "relative_energy_kcal_per_mol_atoms": 12.263,
  "magnetic_moment_mub_per_cell": 0.0
}